# PrSm4Dy5

PrSm4Dy5 after structural relaxation (PBE-GGA, the Alexandria database).

Results
E above lowest polymorph: 0.0 meV per atom
E_form: 0.2 eV/f.u.
D(E_F): 13.06 states/eV per cell
VASP energy: -4.649 eV per atom

Geometry as POSCAR:
```
PrSm4Dy5
1.0
0.3095 2.7067 2.3432
-11.5538 0.5162 -4.5858
-4.1219 -5.5137 4.1460
Pr Sm Dy
1 4 5
direct
0.5000 0.0000 0.0000
0.3030 0.2023 0.2017
0.7004 0.3014 0.7980
0.6970 0.7977 0.7983
0.2996 0.6986 0.2020
0.1012 0.4015 0.3994
0.1012 0.8991 0.4036
0.8988 0.1009 0.5964
0.5000 0.5000 0.0000
0.8988 0.5985 0.6006
```


# Pr8Sm3Dy2

Pr8Sm3Dy2 after structural relaxation (PBE-GGA, the Alexandria database).

Results
E above lowest polymorph: 33.2 meV per atom
E_form: 2.6 eV/f.u.
D(E_F): 18.86 states/eV per cell
VASP energy: -4.536 eV per atom

Geometry as POSCAR:
```
Pr8Sm3Dy2
1.0
-1.1086 -2.0287 5.3685
-6.6743 -3.0610 -2.5350
8.2444 -7.2545 -1.0449
Pr Sm Dy
8 3 2
direct
0.0010 0.6745 0.3490
0.9990 0.3255 0.6510
0.9993 0.1335 0.2670
0.0007 0.8665 0.7330
0.4999 0.6001 0.7864
0.4999 0.1863 0.7864
0.5001 0.8137 0.2136
0.5001 0.3999 0.2136
0.5000 0.0000 0.0000
0.0000 0.2859 0.0000
0.0000 0.7141 0.0000
0.4987 0.2408 0.4815
0.5013 0.7592 0.5185
```


# Pr3Sm2Dy7

Pr3Sm2Dy7 after structural relaxation (PBE-GGA, the Alexandria database).

Results
E_form: 1.0 eV/f.u.
D(E_F): 14.63 states/eV per cell
VASP energy: -4.582 eV per atom

Geometry as POSCAR:
```
Pr3Sm2Dy7
1.0
-1.9504 -1.5930 -2.5722
-0.2382 -4.9101 3.2215
-15.8467 7.0265 7.6643
Pr Sm Dy
3 2 7
direct
0.5000 0.5000 0.0000
0.0000 0.2222 0.3674
0.0000 0.7778 0.6326
0.5000 0.7105 0.2923
0.5000 0.2895 0.7077
0.5000 0.7426 0.4620
0.5000 0.2574 0.5380
0.0000 0.6903 0.1431
0.0000 0.0000 0.0000
0.0000 0.3097 0.8569
0.5000 0.8079 0.8270
0.5000 0.1921 0.1730
```


# Pr7Sm2Dy2

Pr7Sm2Dy2 after structural relaxation (PBE-GGA, the Alexandria database).

Results
E above lowest polymorph: 223.1 meV per atom
E_form: 3.5 eV/f.u.
D(E_F): 19.33 states/eV per cell
VASP energy: -4.416 eV per atom

Geometry as POSCAR:
```
Pr7Sm2Dy2
1.0
9.6871 0.0002 -0.0004
0.0004 6.5106 -2.6040
-0.0003 -1.2700 6.8961
Pr Sm Dy
7 2 2
direct
0.6838 0.0000 0.5000
0.3162 0.5000 0.0000
0.3162 0.0000 0.5000
0.6838 0.5000 0.0000
0.0000 0.0000 0.0000
0.1782 0.5000 0.5000
0.8218 0.5000 0.5000
0.5000 0.7499 0.7499
0.5000 0.2501 0.2501
0.0000 0.7325 0.2675
0.0000 0.2675 0.7325
```


# PrSm2Dy9

PrSm2Dy9 after structural relaxation (PBE-GGA, the Alexandria database).

Results
E above lowest polymorph: 28.2 meV per atom
E_form: 0.6 eV/f.u.
D(E_F): 17.13 states/eV per cell
VASP energy: -4.588 eV per atom

Geometry as POSCAR:
```
PrSm2Dy9
1.0
3.5222 0.0000 0.0000
0.0000 11.2917 0.0000
0.0000 -5.6459 9.7789
Pr Sm Dy
1 2 9
direct
0.0000 0.0000 0.0000
0.0000 0.3333 0.6667
0.0000 0.6667 0.3333
0.0000 0.0000 0.5000
0.0000 0.5000 0.5000
0.0000 0.5000 0.0000
0.5000 0.3532 0.1766
0.5000 0.1766 0.8234
0.5000 0.1766 0.3532
0.5000 0.8234 0.6468
0.5000 0.8234 0.1766
0.5000 0.6468 0.8234
```


# Pr2SmDy4

Pr2SmDy4 after structural relaxation (PBE-GGA, the Alexandria database).

Results
E above lowest polymorph: 0.0 meV per atom
E_form: 1.3 eV/f.u.
D(E_F): 7.03 states/eV per cell
VASP energy: -4.482 eV per atom

Geometry as POSCAR:
```
Pr2SmDy4
1.0
9.5542 0.0387 -0.0227
-0.0185 7.1664 0.0978
-4.7582 -3.6439 3.3866
Pr Sm Dy
2 1 4
direct
0.7834 0.2837 0.5674
0.2158 0.7158 0.4315
0.0015 0.0015 0.0027
0.7571 0.3408 0.1277
0.3710 0.7870 0.1285
0.2409 0.2109 0.8706
0.6303 0.6604 0.8715
```